# 1
Entry from the Alexandria database: an optimized crystal structure of HOsOF2 (PBE-GGA).

Summary:
**Total moment**: 0.198 μB/atom
**Crystal system**: tetragonal
**Calculated density**: 6.488 g cm⁻³
**Density of states at the Fermi level**: 1.80 states/eV/cell
**Uncorrected energy**: -5.16 eV per atom

Lattice parameters (Å, degrees): 4.1199 4.1199 3.6981 90.00 90.00 90.00
Last column: nearest neighbours and their distance in Å.
Fractional positions:
H  0.0000  0.0000  0.0000  8 F 2.77, 4 O 2.91
Os  0.5000  0.5000  0.5000  2 O 1.85, 4 F 2.06
O  0.5000  0.5000  0.0000  2 Os 1.85
F  0.0000  0.5000  0.5000  2 Os 2.06
F  0.5000  0.0000  0.5000  2 Os 2.06

=====

# 2
Entry from the Alexandria database: an optimized crystal structure of HOsOF2 (PBE-GGA).

Summary:
**Total moment**: 0.690 μB/atom
**Crystal system**: tetragonal
**Calculated density**: 9.286 g cm⁻³
**Density of states at the Fermi level**: 1.45 states/eV/cell
**Uncorrected energy**: -4.58 eV per atom

Lattice parameters (Å, degrees): 3.1225 3.1225 4.4978 90.00 90.00 90.00
Last column: nearest neighbours and their distance in Å.
Fractional positions:
H  0.0000  0.0000  0.0000  4 F 1.56
Os  0.5000  0.5000  0.5000  4 O 2.21
O  0.0000  0.0000  0.5000  4 Os 2.21, 2 H 2.25
F  0.0000  0.5000  0.0000  2 H 1.56
F  0.5000  0.0000  0.0000  2 H 1.56

=====

# 3
Entry from the Alexandria database: an optimized crystal structure of RbPHO3F (PBE-GGA).

Summary:
**Total moment**: 0.000 μB/atom
**Crystal system**: monoclinic
**Calculated density**: 2.715 g cm⁻³
**Density of states at the Fermi level**: 0.00 states/eV/cell
**Uncorrected energy**: -5.92 eV per atom

Lattice parameters (Å, degrees): 7.6217 15.8602 9.3510 90.00 127.02 90.00
Last column: nearest neighbours and their distance in Å.
Fractional positions:
Rb  0.0128  0.0479  0.2717  6 O 2.92-3.11, 1 H 3.03, 1 F 3.21
Rb  0.0128  0.4521  0.7717  6 O 2.92-3.11, 1 H 3.03, 1 F 3.21
Rb  0.3120  0.2066  0.7461  5 O 2.90-3.22, 2 F 3.05-3.19
Rb  0.3120  0.2934  0.2461  5 O 2.90-3.22, 2 F 3.05-3.19
Rb  0.6880  0.7066  0.7539  5 O 2.90-3.22, 2 F 3.05-3.19
Rb  0.6880  0.7934  0.2539  5 O 2.90-3.22, 2 F 3.05-3.19
Rb  0.9872  0.5479  0.2283  6 O 2.92-3.11, 1 H 3.03, 1 F 3.21
Rb  0.9872  0.9521  0.7283  6 O 2.92-3.11, 1 H 3.03, 1 F 3.21
P  0.1338  0.7016  0.7266  3 O 1.50-1.58, 1 F 1.62
P  0.1338  0.7984  0.2266  3 O 1.50-1.58, 1 F 1.62
P  0.4946  0.0303  0.2402  3 O 1.50-1.58, 1 F 1.62
P  0.4946  0.4697  0.7402  3 O 1.50-1.58, 1 F 1.62
P  0.5054  0.5303  0.2598  3 O 1.50-1.58, 1 F 1.62
P  0.5054  0.9697  0.7598  3 O 1.50-1.58, 1 F 1.62
P  0.8662  0.2016  0.7734  3 O 1.50-1.58, 1 F 1.62
P  0.8662  0.2984  0.2734  3 O 1.50-1.58, 1 F 1.62
H  0.2129  0.5954  0.6169  1 O 1.05
H  0.2129  0.9046  0.1169  1 O 1.05
H  0.3436  0.6170  0.0231  1 O 1.04
H  0.3436  0.8830  0.5231  1 O 1.04
H  0.6564  0.1170  0.4769  1 O 1.04
H  0.6564  0.3830  0.9769  1 O 1.04
H  0.7871  0.0954  0.8831  1 O 1.05
H  0.7871  0.4046  0.3831  1 O 1.05
O  0.0409  0.2319  0.3618  1 P 1.50
O  0.0409  0.2681  0.8618  1 P 1.50
O  0.1306  0.6378  0.8460  1 H 1.50, 1 P 1.52
O  0.1306  0.8622  0.3460  1 H 1.50, 1 P 1.52
O  0.1623  0.6589  0.5894  1 H 1.05
O  0.1623  0.8411  0.0894  1 H 1.05
O  0.2656  0.5070  0.6305  1 H 1.44, 1 P 1.51
O  0.2656  0.9930  0.1305  1 H 1.44, 1 P 1.51
O  0.3080  0.0262  0.6601  1 P 1.50
O  0.3080  0.4738  0.1601  1 P 1.50
O  0.4977  0.6042  0.1428  1 H 1.04
O  0.4977  0.8958  0.6428  1 H 1.04
O  0.5023  0.1042  0.3572  1 H 1.04
O  0.5023  0.3958  0.8572  1 H 1.04
O  0.6920  0.5262  0.8399  1 P 1.50
O  0.6920  0.9738  0.3399  1 P 1.50
O  0.7344  0.0070  0.8695  1 H 1.44, 1 P 1.51
O  0.7344  0.4930  0.3695  1 H 1.44, 1 P 1.51
O  0.8377  0.1589  0.9106  1 H 1.05
O  0.8377  0.3411  0.4106  1 H 1.05
O  0.8694  0.1378  0.6540  1 H 1.50, 1 P 1.52
O  0.8694  0.3622  0.1540  1 H 1.50, 1 P 1.52
O  0.9591  0.7319  0.1382  1 P 1.50
O  0.9591  0.7681  0.6382  1 P 1.50
F  0.3683  0.7493  0.8576  1 P 1.62
F  0.3683  0.7507  0.3576  1 P 1.62
F  0.4951  0.5814  0.4041  1 P 1.62
F  0.4951  0.9186  0.9041  1 P 1.62
F  0.5049  0.0814  0.0959  1 P 1.62
F  0.5049  0.4186  0.5959  1 P 1.62
F  0.6317  0.2493  0.6424  1 P 1.62
F  0.6317  0.2507  0.1424  1 P 1.62

=====

# 4
Entry from the Alexandria database: an optimized crystal structure of SbPH4O4F6 (PBE-GGA).

Summary:
**Total moment**: 0.000 μB/atom
**Crystal system**: monoclinic
**Calculated density**: 2.585 g cm⁻³
**Density of states at the Fermi level**: 0.00 states/eV/cell
**Uncorrected energy**: -5.25 eV per atom

Lattice parameters (Å, degrees): 5.5962 5.5962 13.8920 90.72 90.72 98.56
Last column: nearest neighbours and their distance in Å.
Fractional positions:
Sb  0.0000  0.0000  0.0000  6 F 1.90-1.94
Sb  0.0000  0.0000  0.5000  6 F 1.90-1.94
P  0.4454  0.5546  0.7500  4 O 1.55
P  0.5546  0.4454  0.2500  4 O 1.55
H  0.1048  0.3560  0.6934  1 O 1.00
H  0.3560  0.1048  0.1934  1 O 1.00
H  0.3714  0.4133  0.3896  1 O 1.00
H  0.4133  0.3714  0.8896  1 O 1.00
H  0.5867  0.6286  0.1104  1 O 1.00
H  0.6286  0.5867  0.6104  1 O 1.00
H  0.6440  0.8952  0.8066  1 O 1.00
H  0.8952  0.6440  0.3066  1 O 1.00
O  0.1684  0.5068  0.7303  1 H 1.00
O  0.4035  0.5255  0.3344  1 H 1.00
O  0.4745  0.5965  0.1656  1 H 1.00
O  0.4932  0.8316  0.7697  1 H 1.00
O  0.5068  0.1684  0.2303  1 H 1.00
O  0.5255  0.4035  0.8344  1 H 1.00
O  0.5965  0.4745  0.6656  1 H 1.00
O  0.8316  0.4932  0.2697  1 H 1.00
F  0.0110  0.1035  0.6338  1 H 1.64
F  0.1035  0.0110  0.1338  1 H 1.64
F  0.1881  0.7556  0.5314  1 Sb 1.90
F  0.2237  0.2903  0.9761  1 H 1.64
F  0.2444  0.8119  0.9686  1 Sb 1.90
F  0.2903  0.2237  0.4761  1 H 1.64
F  0.7097  0.7763  0.5239  1 H 1.64
F  0.7556  0.1881  0.0314  1 Sb 1.90
F  0.7763  0.7097  0.0239  1 H 1.64
F  0.8119  0.2444  0.4686  1 Sb 1.90
F  0.8965  0.9890  0.8662  1 H 1.64
F  0.9890  0.8965  0.3662  1 H 1.64

=====

# 5
Entry from the Alexandria database: an optimized crystal structure of HPbOF2 (PBE-GGA).

Summary:
**Total moment**: 0.150 μB/atom
**Crystal system**: tetragonal
**Calculated density**: 5.065 g cm⁻³
**Density of states at the Fermi level**: 2.74 states/eV/cell
**Uncorrected energy**: -3.81 eV per atom

Lattice parameters (Å, degrees): 4.5038 4.5038 4.2376 90.00 90.00 90.00
Last column: nearest neighbours and their distance in Å.
Fractional positions:
H  0.0000  0.0000  0.0000  8 F 3.09, 4 O 3.18
Pb  0.5000  0.5000  0.5000  2 O 2.12, 4 F 2.25
O  0.5000  0.5000  0.0000  2 Pb 2.12
F  0.0000  0.5000  0.5000  2 Pb 2.25
F  0.5000  0.0000  0.5000  2 Pb 2.25

=====

# 6
Entry from the Alexandria database: an optimized crystal structure of HPbOF (PBE-GGA).

Summary:
**Total moment**: 0.000 μB/atom
**Crystal system**: monoclinic
**Calculated density**: 6.390 g cm⁻³
**Density of states at the Fermi level**: 0.00 states/eV/cell
**Uncorrected energy**: -5.00 eV per atom

Lattice parameters (Å, degrees): 4.3434 4.3434 5.4796 126.09 126.09 54.79
Last column: nearest neighbours and their distance in Å.
Fractional positions:
H  0.0000  0.0000  0.0000  1 O 0.98
Pb  0.1037  0.1037  0.6296  3 F 2.42-2.70, 3 O 2.50-2.52, 1 H 2.63
O  0.8551  0.8551  0.7705  1 H 0.98
F  0.3287  0.3287  0.2131  1 H 1.97

=====

# 7
Entry from the Alexandria database: an optimized crystal structure of HPbOF2 (PBE-GGA).

Summary:
**Total moment**: 0.000 μB/atom
**Crystal system**: tetragonal
**Calculated density**: 8.710 g cm⁻³
**Density of states at the Fermi level**: 1.15 states/eV/cell
**Uncorrected energy**: -4.02 eV per atom

Lattice parameters (Å, degrees): 3.4098 3.4098 4.2995 90.00 90.00 90.00
Last column: nearest neighbours and their distance in Å.
Fractional positions:
H  0.0000  0.0000  0.0000  4 F 1.70
Pb  0.5000  0.5000  0.5000  4 O 2.41
O  0.0000  0.0000  0.5000  2 H 2.15
F  0.0000  0.5000  0.0000  2 H 1.70
F  0.5000  0.0000  0.0000  2 H 1.70

=====

# 8
Entry from the Alexandria database: an optimized crystal structure of HPdOF2 (PBE-GGA).

Summary:
**Total moment**: 0.001 μB/atom
**Crystal system**: tetragonal
**Calculated density**: 5.049 g cm⁻³
**Density of states at the Fermi level**: 2.77 states/eV/cell
**Uncorrected energy**: -3.60 eV per atom

Lattice parameters (Å, degrees): 3.0129 3.0129 5.8480 90.00 90.00 90.00
Last column: nearest neighbours and their distance in Å.
Fractional positions:
H  0.0000  0.0000  0.0000  4 F 1.51
Pd  0.0000  0.0000  0.5000  4 O 2.13
O  0.5000  0.5000  0.5000  4 Pd 2.13
F  0.0000  0.5000  0.0000  2 H 1.51
F  0.5000  0.0000  0.0000  2 H 1.51

=====

# 9
Entry from the Alexandria database: an optimized crystal structure of HPdOF2 (PBE-GGA).

Summary:
**Total moment**: 0.028 μB/atom
**Crystal system**: tetragonal
**Calculated density**: 5.767 g cm⁻³
**Density of states at the Fermi level**: 5.56 states/eV/cell
**Uncorrected energy**: -3.56 eV per atom

Lattice parameters (Å, degrees): 4.2394 4.2394 2.5863 90.00 90.00 90.00
Last column: nearest neighbours and their distance in Å.
Fractional positions:
H  0.0000  0.0000  0.0000  2 O 1.29
Pd  0.5000  0.5000  0.5000  8 F 2.48, 2 Pd 2.59
O  0.0000  0.0000  0.5000  2 H 1.29
F  0.0000  0.5000  0.0000  2 H 2.12
F  0.5000  0.0000  0.0000  2 H 2.12

=====

# 10
Entry from the Alexandria database: an optimized crystal structure of PmH2O2F (PBE-GGA).

Summary:
**Total moment**: 0.000 μB/atom
**Crystal system**: monoclinic
**Calculated density**: 4.831 g cm⁻³
**Density of states at the Fermi level**: 0.00 states/eV/cell
**Uncorrected energy**: -6.21 eV per atom

Lattice parameters (Å, degrees): 5.6816 3.7727 6.4569 90.00 100.40 90.00
Last column: nearest neighbours and their distance in Å.
Fractional positions:
Pm  0.0767  0.2500  0.2744  4 O 2.34-2.43, 3 F 2.42-2.43
Pm  0.9233  0.7500  0.7256  4 O 2.34-2.43, 3 F 2.42-2.43
H  0.3836  0.5366  0.6846  1 O 1.01
H  0.3836  0.9634  0.6846  1 O 1.01
H  0.6164  0.0366  0.3154  1 O 1.01
H  0.6164  0.4634  0.3154  1 O 1.01
O  0.1396  0.2500  0.6421  2 H 1.74
O  0.4903  0.7500  0.6843  2 H 1.01
O  0.5097  0.2500  0.3157  2 H 1.01
O  0.8604  0.7500  0.3579  2 H 1.74
F  0.1765  0.7500  0.0696  3 Pm 2.42-2.43
F  0.8235  0.2500  0.9304  3 Pm 2.42-2.43